Record 1
Density functional theory data (SCAN) for Pd5Pb3 at its PBEsol-relaxed geometry.

Values from the calculation:
- energy of formation (kJ/mol of atoms) = -23.45

abc: 7.2133 7.2133 7.2818
angles: 64.30 64.30 64.39
Fractional coordinates of all 16 atoms:
Pd: 0.2820 0.5549 0.9131
Pd: 0.9609 0.2019 0.5872
Pb: 0.2341 0.7659 0.5000
Pb: 0.0095 0.9905 0.0000
Pd: 0.3795 0.9639 0.6591
Pd: 0.1216 0.3782 0.7502
Pd: 0.8638 0.7929 0.8404
Pb: 0.5389 0.1694 0.7888
Pd: 0.0361 0.6205 0.3409
Pd: 0.2071 0.1362 0.1596
Pd: 0.4451 0.7180 0.0869
Pd: 0.6218 0.8784 0.2498
Pb: 0.8306 0.4611 0.2112
Pd: 0.7981 0.0391 0.4128
Pb: 0.7042 0.5870 0.7113
Pb: 0.4130 0.2958 0.2887



Record 2
Density functional theory data (SCAN) for PdPb2 at its PBEsol-relaxed geometry.

Values from the calculation:
- energy of formation (kJ/mol of atoms) = -18.13

abc: 5.6485 5.6485 5.6485
angles: 105.21 105.21 118.37
Fractional coordinates of all 6 atoms:
Pb: 0.8374 0.6626 0.5000
Pb: 0.3374 0.8374 0.1749
Pd: 0.7500 0.7500 0.0000
Pb: 0.6626 0.1626 0.8251
Pb: 0.1626 0.3374 0.5000
Pd: 0.2500 0.2500 0.0000



Record 3
Density functional theory data (SCAN) for PdPb at its PBEsol-relaxed geometry.

Values from the calculation:
- energy of formation (kJ/mol of atoms) = -21.31

abc: 3.4848 4.3781 5.5614
angles: 90.00 108.26 90.00
Fractional coordinates of all 4 atoms:
Pb: 0.3553 0.7500 0.7106
Pd: 0.0828 0.7500 0.1655
Pd: 0.9172 0.2500 0.8345
Pb: 0.6447 0.2500 0.2894



Record 4
Density functional theory data (SCAN) for PrPdPb at its PBEsol-relaxed geometry.

Values from the calculation:
- energy of formation (kJ/mol of atoms) = -84.74

abc: 4.0989 7.7213 7.7213
angles: 120.00 90.00 90.00
Fractional coordinates of all 9 atoms:
Pr: 0.5000 0.5904 0.0000
Pb: 0.0000 0.2564 0.0000
Pb: 0.0000 0.0000 0.2564
Pb: 0.0000 0.7436 0.7436
Pd: 0.5000 0.0000 0.0000
Pr: 0.5000 0.4096 0.4096
Pd: 0.0000 0.3333 0.6667
Pr: 0.5000 0.0000 0.5904
Pd: 0.0000 0.6667 0.3333